This record from Alexandria via LeMat-Bulk describes a relaxed structure of Li2TlPPd. The functional is PBE.

a = 4.729 Å, b = 4.729 Å, c = 4.541 Å
α = 90.00°, β = 90.00°, γ = 90.00°
Sites, in units of the cell vectors:
Li: 0.000 0.500 0.000
Li: 0.500 0.000 0.000
Tl: 0.000 0.000 0.500
P: 0.500 0.500 0.000
Pd: 0.500 0.500 0.500

Symmetry   P4/mmm, No. 123
Raw total energy   -3.719 eV per atom
Crystal system   tetragonal
Formation enthalpy at 0 K   -0.3594 eV per atom
Mass density   5.81 g cm⁻³